Record 1
Below is a geometry-optimized As2PtW structure, with properties calculated at the PBE level.

It has space group P4/mmm (No. 123), with a = 4.379 Å, b = 4.379 Å, c = 3.302 Å, α = 90.00°, β = 90.00° and γ = 90.00°. The inequivalent atoms are As at (0.000, 0.500, 0.000), Pt at (0.000, 0.000, 0.500) and W at (0.500, 0.500, 0.500).

The energy above the most stable polymorph in this dataset is 118.9 meV per atom. The calculation puts the total energy at -6.91 eV/atom. Its formation energy is 160 meV/atom.

=====

Record 2
Below is a geometry-optimized CeEr2Ag structure, with properties calculated at the PBE level.

It has space group R-3m (No. 166, hexagonal axes), with a = 3.4534 Å, b = 3.4534 Å, c = 31.2853 Å, α = 90.00°, β = 90.00° and γ = 120.00°. The inequivalent atoms are Ce at (0.0000, 0.0000, 0.0000), Er at (0.0000, 0.0000, 0.2427) and Ag at (0.0000, 0.0000, 0.5000).

The energy above the most stable polymorph in this dataset is 106.9 meV per atom. The calculation puts the total energy at -4.47 eV/atom. Its formation energy is 9 meV/atom.

=====

Record 3
Below is a geometry-optimized LaYCd2 structure, with properties calculated at the PBE level.

It has space group R-3m (No. 166, hexagonal axes), with a = 3.6700 Å, b = 3.6700 Å, c = 30.6704 Å, α = 90.00°, β = 90.00° and γ = 120.00°. The inequivalent atoms are La at (0.0000, 0.0000, 0.0000), Y at (0.0000, 0.0000, 0.5000) and Cd at (0.0000, 0.0000, 0.2456).

The energy above the most stable polymorph in this dataset is 180.9 meV per atom. The calculation puts the total energy at -3.46 eV/atom. Its formation energy is -154 meV/atom.